1.
{
  "formula": "In2Cu2Ru",
  "functional": "PBE",
  "state": "relaxed",
  "lattice": [[-4.030, 2.706, 5.079], [-5.099, -4.555, -1.620], [1.252, -2.165, 2.147]],
  "species": ["In", "In", "Cu", "Ru", "Ru", "In", "Cu", "In", "Cu", "Cu"],
  "frac_coords": [[0.820, 0.320, 0.500], [0.680, 0.820, 0.500], [0.879, 0.621, 0.000], [0.500, 0.500, 0.000], [0.000, 0.000, 0.000], [0.320, 0.180, 0.500], [0.621, 0.121, 0.000], [0.180, 0.680, 0.500], [0.379, 0.879, 0.000], [0.121, 0.379, 0.000]],
  "e_tot_ev_per_fu": -21.76,
  "n_ef_per_ev_cell": 7.76,
  "formation_enthalpy_0k_ev_per_fu": 1.19
}

2.
{
  "formula": "La2Nd3Hg2",
  "functional": "PBE",
  "state": "relaxed",
  "lattice": [[-0.210, 1.769, -3.329], [-3.651, -0.790, -0.190], [-3.231, 12.734, 9.108]],
  "species": ["La", "Nd", "Hg", "Nd", "Nd", "La", "Hg"],
  "frac_coords": [[0.705, 0.500, 0.410], [0.580, 0.500, 0.159], [0.139, 0.000, 0.279], [0.000, 0.000, 0.000], [0.420, 0.500, 0.841], [0.295, 0.500, 0.590], [0.861, 0.000, 0.721]],
  "relative_energy_kj_per_mol_fu": 0,
  "e_tot_ev_per_fu": -26.30,
  "n_ef_per_ev_cell": 9.56,
  "formation_enthalpy_0k_ev_per_fu": -1.54
}

3.
{
  "formula": "BaLiAl2Os",
  "functional": "PBE",
  "state": "relaxed",
  "lattice": [[4.827, 0.000, 0.000], [0.000, 4.827, 0.000], [0.000, 0.000, 5.167]],
  "species": ["Al", "Al", "Os", "Ba", "Li"],
  "frac_coords": [[0.000, 0.500, 0.000], [0.500, 0.000, 0.000], [0.000, 0.000, 0.000], [0.500, 0.500, 0.500], [0.000, 0.000, 0.500]],
  "e_tot_ev_per_fu": -23.23,
  "n_ef_per_ev_cell": 2.41,
  "formation_enthalpy_0k_ev_per_fu": -0.68
}

4.
{
  "formula": "Tl2ReW",
  "functional": "PBE",
  "state": "relaxed",
  "lattice": [[-0.947, -2.898, -4.494], [2.494, -4.819, -0.236], [-3.057, 2.614, 3.649]],
  "species": ["Tl", "W", "Tl", "Re"],
  "frac_coords": [[0.500, 0.500, 0.000], [0.250, 0.750, 0.500], [0.000, 0.000, 0.000], [0.750, 0.250, 0.500]],
  "relative_energy_kj_per_mol_fu": 326,
  "e_tot_ev_per_fu": -24.59,
  "n_ef_per_ev_cell": 4.66,
  "formation_enthalpy_0k_ev_per_fu": 5.55
}

5.
{
  "formula": "Dy19Ho6Tm4",
  "functional": "PBE",
  "state": "relaxed",
  "lattice": [[-5.960, -8.265, 3.264], [0.588, -0.026, -10.684], [9.840, -0.852, 4.116]],
  "species": ["Dy", "Dy", "Tm", "Dy", "Dy", "Tm", "Dy", "Dy", "Dy", "Ho", "Dy", "Ho", "Dy", "Dy", "Dy", "Dy", "Tm", "Ho", "Dy", "Dy", "Dy", "Dy", "Ho", "Ho", "Dy", "Tm", "Ho", "Dy", "Dy"],
  "frac_coords": [[0.739, 0.739, 0.000], [0.539, 0.198, 0.214], [0.000, 0.000, 0.643], [0.000, 0.000, 0.000], [0.198, 0.214, 0.539], [0.000, 0.643, 0.000], [0.802, 0.341, 0.016], [0.461, 0.675, 0.659], [0.675, 0.659, 0.461], [0.500, 0.128, 0.628], [0.016, 0.802, 0.341], [0.500, 0.872, 0.372], [0.261, 0.261, 0.000], [0.325, 0.786, 0.984], [0.984, 0.325, 0.786], [0.659, 0.461, 0.675], [0.643, 0.000, 0.000], [0.872, 0.372, 0.500], [0.341, 0.016, 0.802], [0.739, 0.000, 0.739], [0.786, 0.984, 0.325], [0.000, 0.261, 0.261], [0.372, 0.500, 0.872], [0.628, 0.500, 0.128], [0.000, 0.739, 0.739], [0.357, 0.357, 0.357], [0.128, 0.628, 0.500], [0.214, 0.539, 0.198], [0.261, 0.000, 0.261]],
  "e_tot_ev_per_fu": -121.53,
  "n_ef_per_ev_cell": 45.00,
  "formation_enthalpy_0k_ev_per_fu": 11.26
}

6.
{
  "formula": "Cs2PmUO6",
  "functional": "PBE",
  "state": "relaxed",
  "lattice": [[-0.652, -5.799, 2.523], [2.590, -2.558, -5.212], [5.048, -3.830, 0.511]],
  "species": ["O", "Cs", "O", "U", "O", "Cs", "O", "Pm", "O", "O"],
  "frac_coords": [[0.733, 0.733, 0.000], [0.250, 0.750, 0.500], [0.267, 0.267, 0.000], [0.500, 0.500, 0.000], [0.267, 0.733, 0.000], [0.750, 0.250, 0.500], [0.733, 0.733, 0.534], [0.000, 0.000, 0.000], [0.267, 0.267, 0.466], [0.733, 0.267, 0.000]],
  "e_tot_ev_per_fu": -73.38,
  "n_ef_per_ev_cell": 10.13,
  "raw_formation_energy_ev_per_atom": -2.5885
}

7.
{
  "formula": "NaOsN2O",
  "functional": "PBE",
  "state": "relaxed",
  "lattice": [[-0.238, 3.819, -0.248], [-1.305, -0.314, -3.592], [-3.724, -0.144, 1.365]],
  "species": ["N", "Os", "N", "Na", "O"],
  "frac_coords": [[0.500, 0.000, 0.000], [0.000, 0.000, 0.000], [0.000, 0.500, 0.000], [0.500, 0.500, 0.500], [0.000, 0.000, 0.500]],
  "e_tot_ev_per_fu": -34.39,
  "n_ef_per_ev_cell": 2.86,
  "raw_formation_energy_ev_per_atom": -0.0472
}

8.
{
  "formula": "SrGa2Au",
  "functional": "PBE",
  "state": "relaxed",
  "lattice": [[4.439, 0.000, 0.000], [2.220, 3.844, 0.000], [2.220, 1.281, 5.648]],
  "species": ["Ga", "Au", "Sr", "Ga"],
  "frac_coords": [[0.212, 0.212, 0.363], [0.500, 0.500, 0.500], [0.000, 0.000, 0.000], [0.788, 0.788, 0.637]],
  "e_tot_ev_per_fu": -12.97,
  "n_ef_per_ev_cell": 3.65,
  "formation_enthalpy_0k_ev_per_fu": -1.96
}